Pu2AsH2: optimized geometry, PBE-GGA.

Summary:
The calculation puts the density of states at the Fermi level at 5.57 states/eV/cell. The excess energy over the best structure of this formula in the dataset is 0.394 eV/atom. As for the total DFT energy (no corrections): -8.211 eV/atom.

```
data_Pu2AsH2
_chemical_formula_sum 'Pu2 As1 H2'
_space_group_name_H-M_alt 'P 1'
_space_group_IT_number 1
_space_group_name_Hall 'P 1'
_cell_length_a 3.925
_cell_length_b 3.925
_cell_length_c 5.578
_cell_angle_alpha 100.31
_cell_angle_beta 100.31
_cell_angle_gamma 52.33
loop_
_atom_site_label
_atom_site_type_symbol
_atom_site_fract_x
_atom_site_fract_y
_atom_site_fract_z
Pu1 Pu 0.212 0.212 0.353
Pu2 Pu 0.788 0.788 0.647
As1 As 0.500 0.500 0.000
H1 H 0.092 0.092 0.662
H2 H 0.908 0.908 0.338
```